w | ## BaEr2CoO5 (PBE with a Hubbard U)

Data for crystalline BaEr2CoO5 at its relaxed geometry.

Unit cell a=5.7219 b=7.0813 c=12.2859 alpha=90.00 beta=90.00 gamma=90.00
Positions (direct):
Co 0.7500 0.1922 0.8478
Co 0.2500 0.6922 0.6522
Co 0.2500 0.8078 0.1522
Co 0.7500 0.3078 0.3478
O 0.7500 0.9222 0.8974
O 0.0001 0.8619 0.2750
O 0.5001 0.1381 0.7250
O 0.4999 0.8619 0.2750
O 0.2500 0.4222 0.6026
O 0.2500 0.0778 0.1026
O 0.0026 0.6646 0.0659
O 0.9974 0.1646 0.4341
O 0.4974 0.6646 0.0659
O 0.9974 0.3354 0.9341
O 0.0001 0.6381 0.7750
O 0.0026 0.8354 0.5659
O 0.5026 0.1646 0.4341
O 0.5026 0.3354 0.9341
O 0.9999 0.3619 0.2250
O 0.4974 0.8354 0.5659
O 0.9999 0.1381 0.7250
O 0.5001 0.3619 0.2250
O 0.4999 0.6381 0.7750
O 0.7500 0.5778 0.3974
Er 0.2500 0.4016 0.0744
Er 0.7500 0.9016 0.4256
Er 0.7500 0.8805 0.7086
Er 0.2500 0.3805 0.7914
Er 0.2500 0.0984 0.5744
Er 0.7500 0.5984 0.9256
Er 0.7500 0.6195 0.2086
Er 0.2500 0.1195 0.2914
Ba 0.2500 0.9209 0.8995
Ba 0.7500 0.4209 0.6005
Ba 0.7500 0.0791 0.1005
Ba 0.2500 0.5791 0.3995

=====

x | ## BaEr2CoO5 (PBE with a Hubbard U)

Data for crystalline BaEr2CoO5 at its relaxed geometry.

Unit cell a=3.7661 b=5.7884 c=6.6950 alpha=115.62 beta=106.34 gamma=90.00
Positions (direct):
O 0.6524 0.4116 0.3048
O 0.0000 0.5000 0.0000
O 0.3476 0.5884 0.6952
O 0.3476 0.1068 0.6952
O 0.6524 0.8932 0.3048
Ba 0.0000 0.0000 0.0000
Co 0.5000 0.5000 0.0000
Er 0.7963 0.2963 0.5926
Er 0.2037 0.7037 0.4074

=====

From most stable to least stable, the computed energies give w, x.

=====

w | ## BaCoF (PBE with a Hubbard U)

Data for crystalline BaCoF at its relaxed geometry.

Unit cell a=6.3958 b=6.3957 c=4.0175 alpha=71.76 beta=108.24 gamma=103.13
Positions (direct):
Ba 0.9739 0.5604 0.6737
Ba 0.4740 0.0604 0.6737
F 0.6683 0.3666 0.1184
F 0.2800 0.7547 0.2292
Co 0.0251 0.0095 0.9748
Co 0.9229 0.1115 0.3725

=====

x | ## BaCoF (PBE with a Hubbard U)

Data for crystalline BaCoF at its relaxed geometry.

Unit cell a=4.1654 b=4.1672 c=9.2572 alpha=103.10 beta=76.92 gamma=119.95
Positions (direct):
Ba 0.5461 0.7738 0.1302
Ba 0.7327 0.5877 0.5676
Co 0.9735 0.3466 0.8461
Co 0.3052 0.0148 0.8517
F 0.4397 0.8810 0.4470
F 0.8392 0.4806 0.2509

=====

From most stable to least stable, the computed energies give x, w.

=====

w | ## BaCoF (PBE with a Hubbard U)

Data for crystalline BaCoF at its relaxed geometry.

Unit cell a=7.6333 b=5.8223 c=6.2743 alpha=90.00 beta=90.00 gamma=90.00
Positions (direct):
Co 0.5000 0.7500 0.8017
Co 0.0000 0.7500 0.6983
Co 0.5000 0.2500 0.1983
Co 0.0000 0.2500 0.3017
F 0.5000 0.5000 0.5000
F 0.5000 0.0000 0.5000
F 0.0000 0.0000 0.0000
F 0.0000 0.5000 0.0000
Ba 0.7500 0.7500 0.2500
Ba 0.2500 0.2500 0.7500
Ba 0.7500 0.2500 0.7500
Ba 0.2500 0.7500 0.2500

=====

x | ## BaCoF (PBE with a Hubbard U)

Data for crystalline BaCoF at its relaxed geometry.

Unit cell a=9.4669 b=4.0777 c=4.0776 alpha=110.60 beta=73.22 gamma=106.79
Positions (direct):
F 0.2941 0.1945 0.3134
F 0.4870 0.7930 0.7151
Co 0.8909 0.0522 0.4568
Co 0.8907 0.6773 0.8318
Ba 0.1798 0.5137 0.9942
Ba 0.6018 0.2260 0.2824

=====

From most stable to least stable, the computed energies give x, w.

=====

w | ## BaCoF (PBE with a Hubbard U)

Data for crystalline BaCoF at its relaxed geometry.

Unit cell a=4.5492 b=4.5492 c=8.1771 alpha=90.00 beta=90.00 gamma=120.00
Positions (direct):
Ba 0.0000 0.0000 0.5000
Ba 0.0000 0.0000 0.0000
Co 0.6667 0.3333 0.2500
Co 0.3333 0.6667 0.7500
F 0.6667 0.3333 0.7500
F 0.3333 0.6667 0.2500

=====

x | ## BaCoF (PBE with a Hubbard U)

Data for crystalline BaCoF at its relaxed geometry.

Unit cell a=10.1767 b=5.4066 c=5.4066 alpha=90.00 beta=90.00 gamma=90.00
Positions (direct):
Ba 0.5004 0.7500 0.2501
Ba 0.4996 0.2500 0.7499
Ba 0.0004 0.7500 0.2499
Ba 0.9996 0.2500 0.7501
F 0.5000 0.7500 0.7502
F 0.0000 0.7500 0.7498
F 0.0000 0.2500 0.2502
F 0.5000 0.2500 0.2498
Co 0.2500 0.7500 0.7501
Co 0.7500 0.7500 0.7499
Co 0.7500 0.2500 0.2499
Co 0.2500 0.2500 0.2501

=====

From most stable to least stable, the computed energies give x, w.

=====

w | ## BaCo3F (PBE with a Hubbard U)

Data for crystalline BaCo3F at its relaxed geometry.

Unit cell a=5.8670 b=5.8670 c=5.8670 alpha=90.00 beta=90.00 gamma=90.00
Positions (direct):
Co 0.0000 0.0000 0.5000
Co 0.0000 0.5000 0.0000
Co 0.5000 0.0000 0.0000
F 0.5000 0.5000 0.5000
Ba 0.0000 0.0000 0.0000

=====

x | ## BaCo3F (PBE with a Hubbard U)

Data for crystalline BaCo3F at its relaxed geometry.

Unit cell a=4.5944 b=4.5944 c=4.5944 alpha=90.00 beta=90.00 gamma=90.00
Positions (direct):
Ba 0.5000 0.5000 0.5000
Co 0.5000 0.0000 0.0000
Co 0.0000 0.0000 0.5000
Co 0.0000 0.5000 0.0000
F 0.0000 0.0000 0.0000

=====

From most stable to least stable, the computed energies give x, w.

=====

w | ## Ba2CoF2 (PBE with a Hubbard U)

Data for crystalline Ba2CoF2 at its relaxed geometry.

Unit cell a=5.5529 b=5.5529 c=5.5809 alpha=60.17 beta=60.17 gamma=90.00
Positions (direct):
Ba 0.2500 0.7500 0.5000
Ba 0.7500 0.2500 0.5000
F 0.7541 0.7541 0.4918
F 0.2459 0.2459 0.5082
Co 0.0000 0.0000 0.0000

=====

x | ## Ba2CoF2 (PBE with a Hubbard U)

Data for crystalline Ba2CoF2 at its relaxed geometry.

Unit cell a=8.0238 b=8.0238 c=3.5106 alpha=90.00 beta=90.00 gamma=90.00
Positions (direct):
Co 0.5000 0.5000 0.0000
Co 0.0000 0.0000 0.0000
F 0.3807 0.8807 0.0000
F 0.8807 0.6193 0.0000
F 0.6193 0.1193 0.0000
F 0.1193 0.3807 0.0000
Ba 0.8189 0.3189 0.5000
Ba 0.6811 0.8189 0.5000
Ba 0.1811 0.6811 0.5000
Ba 0.3189 0.1811 0.5000

=====

From most stable to least stable, the computed energies give x, w.